No. 1
First-principles (PBE) data for a relaxed La5SmSe8 crystal, as listed in the Alexandria database.

Cell lengths 7.841, 7.841, 7.841 Å; angles 109.38, 109.66, 109.38 degrees
Positions (direct):
La 0.746 0.620 0.624
La 0.004 0.380 0.126
La 0.874 0.879 0.254
La 0.376 0.121 0.996
La 0.500 0.000 0.500
Sm 0.250 0.500 0.750
Se 0.473 0.598 0.221
Se 0.125 0.748 0.527
Se 0.977 0.106 0.727
Se 0.621 0.894 0.872
Se 0.128 0.750 0.023
Se 0.273 0.250 0.379
Se 0.623 0.402 0.875
Se 0.779 0.252 0.377

- Formation energy (no corrections): -1990 meV per atom
- Total magnetic moment: 0.0 μB/f.u.
- Raw total energy: -6.08 eV/atom

=====

No. 2
First-principles (PBE) data for a relaxed BaZrNi2Te crystal, as listed in the Alexandria database.

Cell lengths 4.785, 5.910, 4.785 Å; angles 90.00, 90.00, 90.00 degrees
Positions (direct):
Te 0.500 0.500 0.500
Ni 0.000 0.000 0.500
Ni 0.500 0.000 0.000
Ba 0.000 0.000 0.000
Zr 0.000 0.500 0.000

- Formation energy (no corrections): 1531 meV per atom
- Total magnetic moment: 0.0 μB/f.u.
- Raw total energy: -3.50 eV/atom

=====

No. 3
First-principles (PBE) data for a relaxed Ac2Tb2Dy crystal, as listed in the Alexandria database.

Cell lengths 12.835, 6.579, 10.006 Å; angles 109.19, 146.74, 90.00 degrees
Positions (direct):
Ac 0.238 0.881 0.088
Ac 0.737 0.707 0.087
Ac 0.762 0.119 0.912
Ac 0.263 0.293 0.913
Tb 0.255 0.690 0.703
Tb 0.745 0.310 0.297
Tb 0.249 0.072 0.499
Tb 0.751 0.928 0.501
Dy 0.244 0.485 0.294
Dy 0.756 0.515 0.706

- E_form: 68 meV/atom
- Total magnetic moment: 0.0 μB/f.u.
- Raw total energy: -4.35 eV/atom

=====

No. 4
First-principles (PBE) data for a relaxed NpUCoPd crystal, as listed in the Alexandria database.

Cell lengths 4.551, 4.551, 4.551 Å; angles 60.00, 60.00, 60.00 degrees
Each line ends with the local moment (μB).
Positions (direct):
U 0.500 0.500 0.500  1.33
Np 0.250 0.250 0.250  3.04
Pd 0.000 0.000 0.000  0.00
Co 0.750 0.750 0.750  -0.33

- E_form: -267 meV/atom
- Total magnetic moment: 4.0 μB/f.u.
- Raw total energy: -9.40 eV/atom

=====

No. 5
First-principles (PBE) data for a relaxed NaAl2Sn2 crystal, as listed in the Alexandria database.

Cell lengths 7.980, 7.980, 3.737 Å; angles 90.00, 90.00, 90.00 degrees
Positions (direct):
Na 0.000 0.000 0.000
Na 0.500 0.500 0.000
Al 0.123 0.377 0.000
Al 0.377 0.877 0.000
Al 0.877 0.623 0.000
Al 0.623 0.123 0.000
Sn 0.671 0.829 0.500
Sn 0.171 0.671 0.500
Sn 0.329 0.171 0.500
Sn 0.829 0.329 0.500

- E_form: 62 meV/atom
- Total magnetic moment: 0.0 μB/f.u.
- Raw total energy: -3.30 eV/atom

=====

No. 6
First-principles (PBE) data for a relaxed PmPr5Er4 crystal, as listed in the Alexandria database.

Cell lengths 3.635, 10.248, 9.562 Å; angles 106.15, 79.12, 90.00 degrees
Positions (direct):
Pr 0.700 0.399 0.599
Pr 0.500 0.500 0.000
Pr 0.899 0.805 0.202
Pr 0.300 0.601 0.401
Pr 0.101 0.195 0.798
Er 0.300 0.100 0.399
Er 0.700 0.900 0.601
Er 0.899 0.296 0.203
Er 0.101 0.704 0.797
Pm 0.500 0.000 0.000

- E_form: 17 meV/atom
- Total magnetic moment: 0.0 μB/f.u.
- Raw total energy: -4.67 eV/atom

=====

No. 7
First-principles (PBE) data for a relaxed NaTmAg crystal, as listed in the Alexandria database.

Cell lengths 4.168, 4.168, 9.533 Å; angles 102.17, 102.17, 88.44 degrees
Positions (direct):
Na 0.753 0.753 0.510
Na 0.247 0.247 0.490
Ag 0.845 0.845 0.207
Ag 0.155 0.155 0.793
Tm 0.306 0.306 0.120
Tm 0.694 0.694 0.880

- E_form: -5 meV/atom
- Total magnetic moment: 0.0 μB/f.u.
- Raw total energy: -2.89 eV/atom

=====

No. 8
First-principles (PBE) data for a relaxed BaPRu2 crystal, as listed in the Alexandria database.

Cell lengths 4.972, 4.972, 4.972 Å; angles 125.71, 125.71, 80.37 degrees
Each line ends with the local moment (μB).
Positions (direct):
P 0.750 0.250 0.500  -0.01
Ba 0.500 0.500 0.000  0.01
Ru 0.250 0.750 0.500  1.07
Ru 0.000 0.000 0.000  0.55

- E_form: 868 meV/atom
- Total magnetic moment: 1.7 μB/f.u.
- Raw total energy: -5.60 eV/atom

=====

No. 9
First-principles (PBE) data for a relaxed Pu3GaPd12 crystal, as listed in the Alexandria database.

Cell lengths 4.098, 4.098, 16.208 Å; angles 90.00, 90.00, 90.00 degrees
Each line ends with the local moment (μB).
Positions (direct):
Pd 0.500 0.500 0.000  -0.01
Pd 0.500 0.000 0.117  -0.02
Pd 0.000 0.500 0.631  0.01
Pd 0.500 0.000 0.369  0.01
Pd 0.500 0.500 0.500  0.04
Pd 0.000 0.500 0.369  0.01
Pd 0.500 0.000 0.883  -0.02
Pd 0.500 0.000 0.631  0.01
Pd 0.000 0.500 0.883  -0.02
Pd 0.000 0.500 0.117  -0.02
Pd 0.500 0.500 0.758  -0.01
Pd 0.500 0.500 0.242  -0.01
Pu 0.000 0.000 0.500  -4.90
Pu 0.000 0.000 0.242  0.12
Pu 0.000 0.000 0.758  0.12
Ga 0.000 0.000 0.000  0.00

- E_form: -307 meV/atom
- Total magnetic moment: 4.8 μB/f.u.
- Raw total energy: -7.08 eV/atom

=====

No. 10
First-principles (PBE) data for a relaxed RbNa2Th crystal, as listed in the Alexandria database.

Cell lengths 3.584, 3.584, 14.925 Å; angles 83.10, 83.10, 60.00 degrees
Positions (direct):
Rb 0.500 0.500 0.500
Na 0.920 0.920 0.240
Na 0.080 0.080 0.760
Th 0.000 0.000 0.000

- E_form: 459 meV/atom
- Total magnetic moment: 0.0 μB/f.u.
- Raw total energy: -2.30 eV/atom

=====

No. 11
First-principles (PBE) data for a relaxed Co2ReSnN crystal, as listed in the Alexandria database.

Cell lengths 4.759, 3.908, 4.759 Å; angles 90.00, 90.00, 90.00 degrees
Each line ends with the local moment (μB).
Positions (direct):
Co 0.500 0.000 0.000  1.50
Co 0.000 0.000 0.500  1.56
Sn 0.000 0.000 0.000  -0.13
N 0.000 0.500 0.000  0.31
Re 0.500 0.500 0.500  2.68

- Formation energy (no corrections): 2239 meV per atom
- Total magnetic moment: 6.4 μB/f.u.
- Raw total energy: -5.56 eV/atom

=====

No. 12
First-principles (PBE) data for a relaxed La2Cu3 crystal, as listed in the Alexandria database.

Cell lengths 5.463, 5.463, 8.600 Å; angles 80.20, 80.20, 117.66 degrees
Positions (direct):
Cu 0.056 0.396 0.754
Cu 0.146 0.306 0.254
Cu 0.150 0.810 0.246
Cu 0.842 0.342 0.500
Cu 0.560 0.400 0.746
Cu 0.092 0.092 0.000
La 0.572 0.732 0.398
La 0.482 0.822 0.898
La 0.721 0.380 0.102
La 0.130 0.971 0.602

- E_form: -135 meV/atom
- Total magnetic moment: 0.0 μB/f.u.
- Raw total energy: -4.56 eV/atom

=====

No. 13
First-principles (PBE) data for a relaxed Pm2Ni3Ge4Au crystal, as listed in the Alexandria database.

Cell lengths 4.213, 4.213, 9.893 Å; angles 90.00, 90.00, 90.00 degrees
Positions (direct):
Ge 0.500 0.000 0.647
Ge 0.500 0.500 0.000
Ge 0.000 0.000 0.000
Ge 0.000 0.500 0.353
Pm 0.500 0.000 0.243
Pm 0.000 0.500 0.757
Ni 0.000 0.000 0.500
Ni 0.000 0.500 0.116
Ni 0.500 0.000 0.884
Au 0.500 0.500 0.500

- E_form: -666 meV/atom
- Total magnetic moment: 0.0 μB/f.u.
- Raw total energy: -5.52 eV/atom

=====

No. 14
First-principles (PBE) data for a relaxed Pr3Y2TmTe6 crystal, as listed in the Alexandria database.

Cell lengths 4.377, 9.011, 9.994 Å; angles 104.80, 102.65, 90.00 degrees
Positions (direct):
Y 0.168 0.336 0.336
Y 0.832 0.664 0.664
Te 0.331 0.424 0.662
Te 0.339 0.910 0.678
Te 0.003 0.238 0.005
Te 0.661 0.090 0.322
Te 0.997 0.762 0.995
Te 0.669 0.576 0.338
Pr 0.831 0.166 0.662
Pr 0.500 0.500 0.000
Pr 0.169 0.834 0.338
Tm 0.500 0.000 0.000

- Formation energy (no corrections): -1359 meV per atom
- Total magnetic moment: 0.0 μB/f.u.
- Raw total energy: -5.58 eV/atom

=====

No. 15
First-principles (PBE) data for a relaxed Ba3Li2 crystal, as listed in the Alexandria database.

Cell lengths 15.831, 13.872, 8.213 Å; angles 87.67, 61.11, 31.22 degrees
Positions (direct):
Li 0.773 0.283 0.635
Li 0.309 0.635 0.283
Li 0.615 0.941 0.477
Li 0.967 0.477 0.941
Ba 0.440 0.782 0.255
Ba 0.468 0.810 0.727
Ba 0.955 0.045 0.045
Ba 0.523 0.255 0.782
Ba 0.205 0.295 0.295
Ba 0.995 0.727 0.810

- E_form: 67 meV/atom
- Total magnetic moment: 0.0 μB/f.u.
- Raw total energy: -1.85 eV/atom

=====

No. 16
First-principles (PBE) data for a relaxed CrBr5 crystal, as listed in the Alexandria database.

Cell lengths 5.181, 5.181, 7.837 Å; angles 90.00, 90.00, 120.00 degrees
Each line ends with the local moment (μB).
Positions (direct):
Br 0.320 0.320 0.000  0.00
Br 0.333 0.667 0.500  -0.22
Br 0.680 0.000 0.000  0.00
Br 0.000 0.680 0.000  0.00
Br 0.667 0.333 0.500  -0.22
Cr 0.000 0.000 0.500  3.91

- Formation energy (no corrections): 296 meV per atom
- Total magnetic moment: 3.8 μB/f.u.
- Raw total energy: -2.70 eV/atom

=====

No. 17
First-principles (PBE) data for a relaxed Na2CdGa crystal, as listed in the Alexandria database.

Cell lengths 4.850, 4.473, 4.473 Å; angles 90.00, 90.00, 90.00 degrees
Positions (direct):
Cd 0.500 0.500 0.500
Na 0.000 0.000 0.500
Na 0.000 0.500 0.000
Ga 0.500 0.000 0.000

- E_form: -18 meV/atom
- Total magnetic moment: 0.0 μB/f.u.
- Raw total energy: -1.66 eV/atom

=====

No. 18
First-principles (PBE) data for a relaxed Y2ReP2 crystal, as listed in the Alexandria database.

Cell lengths 5.573, 7.278, 10.874 Å; angles 90.00, 90.00, 90.00 degrees
Positions (direct):
Re 0.750 0.215 0.367
Re 0.250 0.785 0.633
Re 0.750 0.715 0.133
Re 0.250 0.285 0.867
Y 0.750 0.164 0.052
Y 0.750 0.664 0.448
Y 0.250 0.336 0.552
Y 0.750 0.498 0.795
Y 0.750 0.998 0.705
Y 0.250 0.002 0.295
Y 0.250 0.502 0.205
Y 0.250 0.836 0.948
P 0.750 0.946 0.266
P 0.250 0.554 0.766
P 0.750 0.326 0.570
P 0.250 0.054 0.734
P 0.750 0.826 0.930
P 0.250 0.674 0.430
P 0.250 0.174 0.070
P 0.750 0.446 0.234

- E_form: -833 meV/atom
- Total magnetic moment: 0.0 μB/f.u.
- Raw total energy: -8.07 eV/atom

=====

No. 19
First-principles (PBE) data for a relaxed Cs2Au3 crystal, as listed in the Alexandria database.

Cell lengths 5.784, 6.901, 9.205 Å; angles 90.00, 90.00, 114.78 degrees
Positions (direct):
Cs 0.668 0.335 0.908
Cs 0.332 0.665 0.092
Cs 0.832 0.665 0.408
Cs 0.168 0.335 0.592
Au 0.500 0.000 0.500
Au 0.186 0.872 0.750
Au 0.314 0.128 0.250
Au 0.000 0.000 0.000
Au 0.814 0.128 0.250
Au 0.686 0.872 0.750

- E_form: -276 meV/atom
- Total magnetic moment: 0.0 μB/f.u.
- Raw total energy: -2.58 eV/atom

=====

No. 20
First-principles (PBE) data for a relaxed CoRhSe2 crystal, as listed in the Alexandria database.

Cell lengths 3.880, 3.879, 5.452 Å; angles 90.23, 90.00, 90.00 degrees
Each line ends with the local moment (μB).
Positions (direct):
Co 0.000 0.375 0.625  0.80
Se 0.000 0.877 0.884  0.02
Se 0.500 0.373 0.366  0.02
Rh 0.500 0.875 0.625  0.08

- Formation energy (no corrections): -233 meV per atom
- Total magnetic moment: 0.9 μB/f.u.
- Raw total energy: -5.59 eV/atom

=====

No. 21
First-principles (PBE) data for a relaxed Th2Br8Cl crystal, as listed in the Alexandria database.

Cell lengths 8.780, 7.519, 7.519 Å; angles 74.12, 63.26, 63.26 degrees
Each line ends with the local moment (μB).
Positions (direct):
Th 0.585 0.161 0.161  -0.01
Th 0.415 0.839 0.839  -0.01
Br 0.308 0.593 0.213  0.01
Br 0.308 0.213 0.593  0.01
Br 0.269 0.136 0.136  0.00
Br 0.757 0.301 0.301  0.24
Br 0.243 0.699 0.699  0.24
Br 0.731 0.864 0.864  0.00
Br 0.692 0.407 0.787  0.01
Br 0.692 0.787 0.407  0.01
Cl 0.000 0.000 0.000  0.28

- Formation energy (no corrections): -1540 meV per atom
- Total magnetic moment: 1.0 μB/f.u.
- Raw total energy: -4.27 eV/atom

=====

No. 22
First-principles (PBE) data for a relaxed La8Co3IrI4 crystal, as listed in the Alexandria database.

Cell lengths 8.306, 9.535, 8.331 Å; angles 115.84, 119.90, 90.00 degrees
Positions (direct):
La 0.271 0.319 0.543
La 0.767 0.317 0.045
La 0.233 0.683 0.955
La 0.722 0.683 0.955
La 0.729 0.681 0.457
La 0.769 0.317 0.538
La 0.231 0.683 0.462
La 0.278 0.317 0.045
I 0.500 0.000 0.500
I 0.500 0.000 0.000
I 0.000 0.000 0.500
I 0.000 0.000 0.000
Co 0.500 0.500 0.000
Co 0.000 0.500 0.500
Co 0.500 0.500 0.500
Ir 0.000 0.500 0.000

- Formation energy (no corrections): -788 meV per atom
- Total magnetic moment: 0.0 μB/f.u.
- Raw total energy: -5.53 eV/atom

=====

No. 23
First-principles (PBE) data for a relaxed SrLi4Tl12 crystal, as listed in the Alexandria database.

Cell lengths 8.563, 8.563, 8.563 Å; angles 109.47, 109.47, 109.47 degrees
Positions (direct):
Tl 0.836 0.661 0.497
Tl 0.825 0.164 0.661
Tl 0.164 0.339 0.503
Tl 0.836 0.339 0.175
Tl 0.164 0.661 0.825
Tl 0.661 0.497 0.836
Tl 0.661 0.825 0.164
Tl 0.175 0.836 0.339
Tl 0.503 0.164 0.339
Tl 0.497 0.836 0.661
Tl 0.339 0.503 0.164
Tl 0.339 0.175 0.836
Li 0.500 0.500 0.500
Li 0.000 0.000 0.500
Li 0.500 0.000 0.000
Li 0.000 0.500 0.000
Sr 0.000 0.000 0.000

- E_form: -1 meV/atom
- Total magnetic moment: 0.0 μB/f.u.
- Raw total energy: -2.22 eV/atom